This record from the Alexandria database describes SrNiIO2 after structural relaxation. The functional is PBE with a Hubbard U.

Properties
E above lowest polymorph ... 0 meV per atom
Uncorrected energy ... -0.1408 hartree per atom

Cell lengths 4.3413, 4.3413, 5.2158 Å; angles 90.00, 90.00, 90.00 degrees
Space group P4/mmm (No. 123)
One atom of each set of equivalent atoms:
1 Sr 0.0000 0.0000 0.0000 (multiplicity 1)
2 Ni 0.5000 0.5000 0.5000 (multiplicity 1)
3 I 0.5000 0.5000 0.0000 (multiplicity 1)
4 O 0.0000 0.5000 0.5000 (multiplicity 2)